Entry 1:
VASP calculation (PBE-GGA) on an optimized crystal structure of Mo3Pt2Rh6.

Results
energy of formation from the pure elements: -0.085 eV/atom
crystal system: triclinic
density: 12.89 g/cm³

abc: 4.8018 6.4180 6.5176
angles: 104.08 108.40 108.58
Space group P-1 (No. 2)
Asymmetric unit:
Mo1 0.0000 0.0000 0.0000
Mo2 0.4634 0.2743 0.4674
Pt1 0.0252 0.8185 0.3619
Rh1 0.1017 0.6440 0.7236
Rh2 0.3598 0.4378 0.1178
Rh3 0.4957 0.9047 0.1744



Entry 2:
VASP calculation (PBE-GGA) on an optimized crystal structure of Mo2Pt4Rh3.

Results
energy of formation from the pure elements: -0.197 eV/atom
crystal system: triclinic
density: 15.64 g/cm³

abc: 4.8573 7.0994 8.6256
angles: 72.46 74.20 89.60
Space group P-1 (No. 2)
Asymmetric unit:
Mo1 0.1205 0.3641 0.1098
Mo2 0.3325 0.9119 0.6635
Pt1 0.0014 0.5786 0.3324
Pt2 0.2191 0.9772 0.2194
Pt3 0.3313 0.7510 0.9977
Pt4 0.4511 0.7012 0.4414
Rh1 0.1138 0.1916 0.4401
Rh2 0.2211 0.1430 0.8891
Rh3 0.4428 0.5327 0.7795



> density of number 1 (Mo3Pt2Rh6)?

12.89 g/cm³



> Which of these has the lowest density?

Mo3Pt2Rh6